Record 1
Entry from the Alexandria database: an optimized crystal structure of LaSe2 (PBE-GGA).

## Properties
Crystal system: monoclinic
Raw formation energy, eV per atom: -1.63
Spin magnetization, Bohr magnetons per cell: 0.0
Uncorrected energy, eV/atom: -5.5992

abc: 4.5472 8.4048 9.5268
angles: 90.00 108.32 90.00
Last column: nearest neighbours and their distance in Å.
Space group P2_1/c (No. 14)
Asymmetric unit:
La 0.1167 0.2286 0.4076 (multiplicity 4)  7 Se 2.94-3.26
Se 0.2147 0.6254 0.8878 (multiplicity 4)  4 La 2.94-3.17, 1 Se 3.18
Se 0.4305 0.5129 0.6166 (multiplicity 4)  1 Se 2.50



Record 2
Entry from the Alexandria database: an optimized crystal structure of LaSe (PBE-GGA).

## Properties
Crystal system: cubic
Raw formation energy, eV per atom: -0.77
Fermi-level density of states, states/eV/cell: 15.30
Spin magnetization, Bohr magnetons per cell: 4.5
Uncorrected energy, eV/atom: -4.9799

abc: 7.4417 7.4417 7.4417
angles: 90.00 90.00 90.00
Last column: nearest neighbours and their distance in Å.
Space group Fd-3m (No. 227, origin choice 2)
Asymmetric unit:
La 0.1250 0.1250 0.1250 (multiplicity 8)  4 La 3.22, 4 Se 3.22
Se 0.1250 0.1250 0.6250 (multiplicity 8)  4 Se 3.22, 4 La 3.22



Record 3
Entry from the Alexandria database: an optimized crystal structure of La4Se3 (PBE-GGA).

## Properties
Crystal system: hexagonal
Raw formation energy, eV per atom: -0.81
Fermi-level density of states, states/eV/cell: 7.13
Spin magnetization, Bohr magnetons per cell: 0.0
Uncorrected energy, eV/atom: -5.1212

abc: 6.6367 6.6367 5.3145
angles: 90.00 90.00 120.00
Last column: nearest neighbours and their distance in Å.
Space group P6/mmm (No. 191)
Asymmetric unit:
La 0.0000 0.0000 0.2490 (multiplicity 2)  2 La 2.65-2.67
La 0.3333 0.6667 0.0000 (multiplicity 2)  6 Se 3.28
Se 0.0000 0.5000 0.5000 (multiplicity 3)  8 La 3.28-3.58, 4 Se 3.32



Record 4
Entry from the Alexandria database: an optimized crystal structure of LaSe2 (PBE-GGA).

## Properties
Crystal system: monoclinic
Raw formation energy, eV per atom: -1.61
Fermi-level density of states, states/eV/cell: 1.79
Spin magnetization, Bohr magnetons per cell: 0.0
Uncorrected energy, eV/atom: -5.5772

abc: 20.9399 4.0134 4.0116
angles: 90.00 99.84 90.00
Last column: nearest neighbours and their distance in Å.
Space group C2/m (No. 12)
Asymmetric unit:
La 0.1414 0.0000 0.1527 (multiplicity 4)  9 Se 3.10-3.32
Se 0.0610 0.5000 0.5665 (multiplicity 4)  1 Se 2.52
Se 0.2016 0.5000 0.7072 (multiplicity 4)  1 Se 2.90, 5 La 3.10-3.24



Record 5
Entry from the Alexandria database: an optimized crystal structure of LaSe (PBE-GGA).

## Properties
Crystal system: cubic
Raw formation energy, eV per atom: -1.37
Fermi-level density of states, states/eV/cell: 13.20
Spin magnetization, Bohr magnetons per cell: 0.0
Uncorrected energy, eV/atom: -5.5786

abc: 8.2722 8.2722 8.2722
angles: 90.00 90.00 90.00
Last column: nearest neighbours and their distance in Å.
Space group Pm-3n (No. 223)
Asymmetric unit:
La 0.0000 0.2500 0.5000 (multiplicity 6)  4 Se 2.92
Se 0.0000 0.5000 0.2500 (multiplicity 6)  4 La 2.92



Record 6
Entry from the Alexandria database: an optimized crystal structure of LaSe (PBE-GGA).

## Properties
Crystal system: hexagonal
Raw formation energy, eV per atom: -1.49
Fermi-level density of states, states/eV/cell: 6.54
Spin magnetization, Bohr magnetons per cell: 0.0
Uncorrected energy, eV/atom: -5.6916

abc: 10.9834 10.9834 5.1482
angles: 90.00 90.00 120.00
Last column: nearest neighbours and their distance in Å.
Space group P6_3/m (No. 176)
Asymmetric unit:
La 0.1274 0.6781 0.2500 (multiplicity 6)  4 Se 2.95-3.02
Se 0.0209 0.3657 0.2500 (multiplicity 6)  4 La 2.95-3.02